First-principles (PBE) data for a relaxed structure of InPb4W, as listed in Alexandria.

Lattice parameters (Å, degrees): 9.0032 9.0032 9.0032 90.00 90.00 90.00
With the nearest neighbours (Å) after each atom.
Space group F-43m (No. 216)
Inequivalent atoms, fractional coordinates:
In: 0.0000 0.0000 0.0000  12 Pb 3.74, 4 W 3.90
Pb: 0.1240 0.1240 0.6240  6 Pb 3.16-3.21
W: 0.2500 0.2500 0.2500  12 Pb 3.73, 4 In 3.90

Summary:
**Formation energy from the elements**: 1035 meV per atom


First-principles (PBE) data for a relaxed structure of CsScTl2Cl6, as listed in Alexandria.

Lattice parameters (Å, degrees): 7.8537 7.8612 8.0962 90.03 119.01 119.96
With the nearest neighbours (Å) after each atom.
Space group P1 (No. 1)
Inequivalent atoms, fractional coordinates:
Cs: 0.0000 0.0000 0.0000  6 Cl 3.36-3.59
Sc: 0.9747 0.4874 0.4617  6 Cl 2.50-2.55
Tl: 0.5645 0.2826 0.8463  6 Cl 3.24-3.29
Tl: 0.5893 0.7950 0.3836  6 Cl 3.14-3.37
Cl: 0.0742 0.4131 0.2266  1 Sc 2.54
Cl: 0.0852 0.2765 0.6647  1 Sc 2.50
Cl: 0.3883 0.8091 0.6643  1 Sc 2.50
Cl: 0.5660 0.1532 0.2262  1 Sc 2.54
Cl: 0.8135 0.6606 0.2261  1 Sc 2.55
Cl: 0.8552 0.5797 0.6641  1 Sc 2.50

Summary:
**ΔE_f (raw)**: -161 kJ/mol of atoms


First-principles (PBE) data for a relaxed structure of PrCdSn4, as listed in Alexandria.

Lattice parameters (Å, degrees): 8.7807 8.7807 8.7807 90.00 90.00 90.00
With the nearest neighbours (Å) after each atom.
Space group F-43m (No. 216)
Inequivalent atoms, fractional coordinates:
Pr: 0.0000 0.0000 0.0000  12 Sn 3.64, 4 Cd 3.80
Cd: 0.2500 0.2500 0.2500  12 Sn 3.64, 4 Pr 3.80
Sn: 0.1251 0.1251 0.6251  6 Sn 3.10-3.11

Summary:
**Formation energy from the elements**: -207 meV per atom


First-principles (PBE) data for a relaxed structure of Zn7Cu2Au2, as listed in Alexandria.

Lattice parameters (Å, degrees): 6.6500 7.5203 6.7898 90.00 101.78 90.00
With the nearest neighbours (Å) after each atom.
Space group C2/m (No. 12)
Inequivalent atoms, fractional coordinates:
Zn: 0.0000 0.0000 0.0000  2 Cu 2.53, 2 Zn 2.65
Zn: 0.1460 0.0000 0.3942  1 Cu 2.60, 4 Zn 2.64-2.82, 4 Au 2.66-2.73
Zn: 0.2136 0.3103 0.1837  3 Cu 2.56-2.64, 2 Au 2.71-2.81, 4 Zn 2.79-2.86
Cu: 0.1168 0.5000 0.8658  8 Zn 2.53-2.64, 1 Cu 2.63
Au: 0.0000 0.3075 0.5000  8 Zn 2.66-2.81, 2 Cu 2.84, 1 Au 2.89

Summary:
**Formation energy from the elements**: -138 meV per atom


First-principles (PBE) data for a relaxed structure of TaMnSe3, as listed in Alexandria.

Lattice parameters (Å, degrees): 4.6946 4.6946 4.6946 90.00 90.00 90.00
With the nearest neighbours (Å) after each atom.
Space group Pm-3m (No. 221)
Inequivalent atoms, fractional coordinates:
Ta: 0.0000 0.0000 0.0000  12 Se 3.32
Mn: 0.5000 0.5000 0.5000  6 Se 2.35
Se: 0.0000 0.5000 0.5000  2 Mn 2.35

Summary:
**ΔE_f (raw)**: 62 kJ/mol of atoms
**E above lowest polymorph**: 1009.7 meV/atom


First-principles (PBE) data for a relaxed structure of Gd2ThOs, as listed in Alexandria.

Lattice parameters (Å, degrees): 3.4142 3.4142 33.0621 90.00 90.00 120.00
With the nearest neighbours (Å) after each atom.
Space group R-3m (No. 166, hexagonal axes)
Inequivalent atoms, fractional coordinates:
Gd: 0.0000 0.0000 0.1046  3 Os 2.85
Th: 0.0000 0.0000 0.0000  6 Th 3.41, 2 Gd 3.46
Os: 0.0000 0.0000 0.5000  6 Gd 2.85

Summary:
**Formation energy from the elements**: 315 meV per atom
**E above lowest polymorph**: 326.1 meV/atom


First-principles (PBE) data for a relaxed structure of SmNbFe, as listed in Alexandria.

Lattice parameters (Å, degrees): 4.2289 4.2289 7.2581 90.00 90.00 90.00
With the nearest neighbours (Å) after each atom.
Space group P4/nmm (No. 129, origin choice 2)
Inequivalent atoms, fractional coordinates:
Sm: 0.2500 0.2500 0.1709  4 Fe 3.19, 4 Nb 3.20
Nb: 0.2500 0.2500 0.6718  4 Fe 2.45
Fe: 0.2500 0.7500 0.5000  4 Nb 2.45

Summary:
**Formation energy from the elements**: 241 meV per atom


First-principles (PBE) data for a relaxed structure of TmZrMo, as listed in Alexandria.

Lattice parameters (Å, degrees): 3.4871 3.4871 11.0731 90.00 90.00 90.00
With the nearest neighbours (Å) after each atom.
Space group I4mm (No. 107)
Inequivalent atoms, fractional coordinates:
Tm: 0.0000 0.0000 0.0000  4 Mo 3.08, 5 Zr 3.16-3.42
Zr: 0.0000 0.0000 0.2857  4 Mo 2.79
Mo: 0.0000 0.0000 0.6673  4 Zr 2.79, 4 Tm 3.08

Summary:
**Formation energy from the elements**: 103 meV per atom
**E above lowest polymorph**: 0.0 meV/atom


Number 1: VASP energy -4.053 eV per atom. Number 2: VASP energy -3.972 eV per atom. Number 3: VASP energy -3.825 eV per atom. Number 4: VASP energy -2.289 eV per atom. Number 5: VASP energy -5.650 eV per atom. Number 6: VASP energy -11.388 eV per atom. Number 7: VASP energy -7.510 eV per atom. Number 8: VASP energy -7.847 eV per atom.